CeTmS3 | GGA-PBE | optimized geometry

Cell lengths 7.7823, 3.9181, 7.8289 Å; angles 90.00, 94.83, 90.00 degrees
Fractional positions:
Ce1 0.1221 0.2500 0.2694
Ce2 0.8779 0.7500 0.7306
Tm1 0.3533 0.7500 0.8282
Tm2 0.6467 0.2500 0.1718
S1 0.1254 0.2500 0.8857
S2 0.1847 0.7500 0.5254
S3 0.4042 0.7500 0.1790
S4 0.5958 0.2500 0.8210
S5 0.8153 0.2500 0.4746
S6 0.8746 0.7500 0.1143

The calculation puts the mass density at 5.66 g cm⁻³. The volume is 238 Å³/cell. As for the energy relative to the lowest polymorph listed for this composition: 19.7 meV/atom. For the uncorrected formation energy, the calculation gives -2.025 eV per atom.